# 1
Material: Rb2SrTcI6
Method: DFT, PBE
State: optimized geometry

Results
space group = No. 225
DOS(E_F) = 1.12 states/eV/atom
E_tot = -32.4 eV per cell
ΔE_f (raw) = -88.2 kJ/mol of atoms
magnetic moment = 1.0 μB/cell

Unit cell a=8.4496 b=8.4496 c=8.4496 alpha=60.00 beta=60.00 gamma=90.00
Each line ends with the local moment (μB).
Fractional positions:
Rb 0.2500 0.7500 0.5000  0.00
Rb 0.7500 0.2500 0.5000  0.00
I 0.7686 0.7686 0.4628  0.01
I 0.7686 0.2314 0.0000  0.01
I 0.2314 0.2314 0.5372  0.01
I 0.2314 0.7686 0.0000  0.01
I 0.7686 0.7686 0.0000  0.01
I 0.2314 0.2314 0.0000  0.01
Tc 0.0000 0.0000 0.0000  0.82
Sr 0.5000 0.5000 0.0000  -0.01

# 2
Material: RbNaCuTe2
Method: DFT, PBE
State: optimized geometry

Results
space group = No. 51
DOS(E_F) = 0.49 states/eV/atom
E_tot = -30.4 eV per cell
ΔE_f (raw) = -49.2 kJ/mol of atoms
magnetic moment = 0.0 μB/cell

Unit cell a=6.8453 b=5.5543 c=8.3557 alpha=90.00 beta=90.00 gamma=90.00
Fractional positions:
Te 0.7840 0.2500 0.2131
Te 0.2160 0.7500 0.7869
Te 0.2160 0.7500 0.2131
Te 0.7840 0.2500 0.7869
Rb 0.2248 0.2500 0.5000
Rb 0.7752 0.7500 0.5000
Na 0.6106 0.7500 0.0000
Na 0.3893 0.2500 0.0000
Cu 0.0000 0.0000 0.0000
Cu 0.0000 0.5000 0.0000

# 3
Material: Al2CdSn2
Method: DFT, PBE
State: optimized geometry

Results
offset from the most stable computed form = 41.2 meV/atom
space group = No. 127
DOS(E_F) = 0.58 states/eV/atom
energy of formation from the pure elements = 191 meV per atom
E_tot = -30.9 eV per cell
magnetic moment = 0.0 μB/cell

Unit cell a=8.5787 b=8.5787 c=3.2092 alpha=90.00 beta=90.00 gamma=90.00
Fractional positions:
Cd 0.0000 0.0000 0.0000
Cd 0.5000 0.5000 0.0000
Al 0.3647 0.1353 0.5000
Al 0.6353 0.8647 0.5000
Al 0.1353 0.6353 0.5000
Al 0.8647 0.3647 0.5000
Sn 0.3402 0.8402 0.0000
Sn 0.1598 0.3402 0.0000
Sn 0.6598 0.1598 0.0000
Sn 0.8402 0.6598 0.0000

# 4
Material: CaPu5N6
Method: DFT, PBE
State: optimized geometry

Results
space group = No. 12
DOS(E_F) = 2.20 states/eV/atom
E_tot = -137.8 eV per cell
ΔE_f (raw) = -113.9 kJ/mol of atoms
magnetic moment = 14.0 μB/cell

Unit cell a=6.0342 b=6.0342 c=6.0449 alpha=99.68 beta=99.68 gamma=119.94
Each line ends with the local moment (μB).
Fractional positions:
N 0.2630 0.2630 0.7489  -0.15
N 0.4362 0.0819 0.2567  -0.15
N 0.0819 0.4362 0.2567  -0.15
N 0.5638 0.9181 0.7433  -0.15
N 0.7370 0.7370 0.2511  -0.15
N 0.9181 0.5638 0.7433  -0.15
Pu 0.8357 0.1643 0.5000  4.63
Pu 0.1643 0.8357 0.5000  4.63
Pu 0.6670 0.3330 0.0000  4.66
Pu 0.5000 0.5000 0.5000  -4.42
Pu 0.3330 0.6670 0.0000  4.66
Ca 0.0000 0.0000 0.0000  0.04

# 5
Material: BiAu2N
Method: DFT, PBE
State: optimized geometry

Results
offset from the most stable computed form = 478.4 meV/atom
space group = No. 225
DOS(E_F) = 0.09 states/eV/atom
E_tot = -14.0 eV per cell
ΔE_f (raw) = 114.2 kJ/mol of atoms
magnetic moment = 0.0 μB/cell

Unit cell a=4.7301 b=4.7301 c=4.7301 alpha=60.00 beta=60.00 gamma=60.00
Fractional positions:
Au 0.7500 0.7500 0.7500
Au 0.2500 0.2500 0.2500
N 0.0000 0.0000 0.0000
Bi 0.5000 0.5000 0.5000

# 6
Material: LaNd2Cu2Si2
Method: DFT, PBE
State: optimized geometry

Results
space group = No. 166
DOS(E_F) = 0.61 states/eV/atom
E_tot = -36.8 eV per cell
ΔE_f (raw) = -45.1 kJ/mol of atoms
magnetic moment = 0.0 μB/cell

Unit cell a=4.2758 b=4.2758 c=10.3888 alpha=78.12 beta=78.12 gamma=60.00
Fractional positions:
Nd 0.1264 0.1264 0.6207
Nd 0.8736 0.8736 0.3793
Cu 0.5977 0.5977 0.2069
Cu 0.4023 0.4023 0.7931
Si 0.2643 0.2643 0.2072
Si 0.7357 0.7357 0.7928
La 0.0000 0.0000 0.0000

# 7
Material: Pr4Ga2Sn
Method: DFT, PBE
State: optimized geometry

Results
offset from the most stable computed form = 61.3 meV/atom
space group = No. 166
DOS(E_F) = 1.35 states/eV/atom
energy of formation from the pure elements = -374 meV per atom
E_tot = -31.8 eV per cell
magnetic moment = 0.0 μB/cell

Unit cell a=5.0477 b=5.0477 c=10.4460 alpha=76.02 beta=76.02 gamma=60.00
Fractional positions:
Pr 0.7997 0.7997 0.6009
Pr 0.6176 0.6176 0.1473
Pr 0.2003 0.2003 0.3991
Pr 0.3824 0.3824 0.8527
Ga 0.9033 0.9033 0.2902
Ga 0.0967 0.0967 0.7098
Sn 0.0000 0.0000 0.0000

# 8
Material: NaInHgBr3
Method: DFT, PBE
State: optimized geometry

Results
space group = No. 12
DOS(E_F) = 0.13 states/eV/atom
E_tot = -28.6 eV per cell
ΔE_f (raw) = -78.8 kJ/mol of atoms
magnetic moment = 0.0 μB/cell

Unit cell a=5.5338 b=9.6970 c=9.5643 alpha=110.84 beta=90.00 gamma=106.58
Fractional positions:
Hg 0.6906 0.3813 0.9661
Hg 0.3094 0.6187 0.0339
In 0.9502 0.9005 0.6668
In 0.0498 0.0995 0.3332
Br 0.2048 0.4097 0.3282
Br 0.8911 0.7823 0.3585
Br 0.5387 0.0773 0.2669
Br 0.1089 0.2177 0.6415
Br 0.7952 0.5903 0.6718
Br 0.4613 0.9227 0.7331
Na 0.7236 0.4472 0.3320
Na 0.2764 0.5528 0.6680